Record 1
Computed, not measured: a relaxed structure of Yb6Lu at the PBE-GGA level of DFT.

The structure belongs to space group Im-3m (No. 229); the cell edges are 8.8251, 8.8251 and 8.8251 Å and the angles 90.00°, 90.00° and 90.00°. Symmetry generates all atoms from Yb at (0.0000, 0.2500, 0.5000) and Lu at (0.0000, 0.0000, 0.0000).

For the energy, the calculation gives -0.755 eV/atom. Its density of states at the Fermi level is 26.377 states/eV per cell. The calculation puts the formation enthalpy at 0 K at 1.20 eV per atom.

Record 2
Computed, not measured: a relaxed structure of Yb3Lu at the PBE-GGA level of DFT.

The structure belongs to space group P6_3/mmc (No. 194); the cell edges are 7.2059, 7.2059 and 5.9032 Å and the angles 90.00°, 90.00° and 120.00°. Symmetry generates all atoms from Yb at (0.1693, 0.3387, 0.2500) and Lu at (0.3333, 0.6667, 0.7500).

For the energy, the calculation gives -2.319 eV/atom. Its density of states at the Fermi level is 5.652 states/eV per cell. The calculation puts the formation enthalpy at 0 K at -0.04 eV per atom.

Record 3
Computed, not measured: a relaxed structure of Lu3Zn at the PBE-GGA level of DFT.

The structure belongs to space group Immm (No. 71); the cell edges are 3.5936, 5.1472 and 10.9819 Å and the angles 90.00°, 90.00° and 90.00°. Symmetry generates all atoms from Lu at (0.0000, 0.0000, 0.0000), Lu at (0.0000, 0.5000, 0.2142) and Zn at (0.0000, 0.0000, 0.5000).

For the energy, the calculation gives -3.862 eV/atom. Its density of states at the Fermi level is 7.206 states/eV per cell. The calculation puts the formation enthalpy at 0 K at -0.15 eV per atom.

Record 4
Computed, not measured: a relaxed structure of Lu6Zn23 at the PBE-GGA level of DFT.

The structure belongs to space group Fm-3m (No. 225); the cell edges are 12.5550, 12.5550 and 12.5550 Å and the angles 90.00°, 90.00° and 90.00°. Symmetry generates all atoms from Lu at (0.0000, 0.0000, 0.2048), Zn at (0.0000, 0.0000, 0.5000), Zn at (0.0000, 0.2500, 0.2500), Zn at (0.1223, 0.1223, 0.3777) and Zn at (0.1701, 0.1701, 0.1701).

For the energy, the calculation gives -2.228 eV/atom. Its density of states at the Fermi level is 38.646 states/eV per cell. The calculation puts the formation enthalpy at 0 K at -0.28 eV per atom.